First-principles (PBE) data for a geometry-optimized TbErAlOs structure, as listed in Alexandria via LeMat-Bulk.

For the density of states at the Fermi level, the calculation gives 1.64 states/eV per cell. The space-group type is F-43m. The value obtained for the calculated density is 10.65 g cm⁻³. The total DFT energy (no corrections) comes out at -0.232 Ha/atom.

Lattice parameters (Å, degrees): 4.930 4.930 4.930 60.00 60.00 60.00
Positions (direct):
Al 0.750 0.750 0.750
Tb 0.000 0.000 0.000
Er 0.500 0.500 0.500
Os 0.250 0.250 0.250